(1)
First-principles (PBE) data for a relaxed YAgHgRu2 crystal, as listed in Alexandria.

Geometry as POSCAR:
```
YAgHgRu2
1.0
-2.414 0.971 -4.199
2.111 -3.960 -2.129
-3.764 -2.820 1.512
Ru Hg Y Ag
2 1 1 1
direct
0.500 0.000 0.000 Ru
0.000 0.000 0.500 Ru
0.000 0.500 0.000 Hg
0.500 0.500 0.500 Y
0.000 0.000 0.000 Ag
```

Properties
Formation energy   1.1917 eV/atom
Space group   P4/mmm (123)

(2)
First-principles (PBE) data for a relaxed AgHgS2 crystal, as listed in Alexandria.

Geometry as POSCAR:
```
AgHgS2
1.0
-3.422 -0.299 -1.615
-2.989 -2.026 2.248
-4.047 4.515 3.278
Ag S Hg
1 2 1
direct
0.250 0.250 0.250 Ag
0.906 0.176 0.013 S
0.594 0.324 0.487 S
0.750 0.750 0.750 Hg
```

Properties
E_form (uncorrected)   0.0 eV/f.u.
Space group   C2/m (12)

(3)
First-principles (PBE) data for a relaxed AgHg2S6 crystal, as listed in Alexandria.

Geometry as POSCAR:
```
AgHg2S6
1.0
5.515 0.000 -2.551
0.000 16.251 0.000
-2.142 0.000 6.495
S Ag Hg
12 2 4
direct
0.676 0.091 0.779 S
0.176 0.409 0.279 S
0.824 0.591 0.721 S
0.174 0.616 0.745 S
0.535 0.686 0.511 S
0.324 0.909 0.221 S
0.674 0.884 0.245 S
0.035 0.814 0.011 S
0.465 0.314 0.489 S
0.965 0.186 0.989 S
0.326 0.116 0.755 S
0.826 0.384 0.255 S
0.500 0.500 0.000 Ag
0.000 0.000 0.500 Ag
0.017 0.603 0.247 Hg
0.983 0.397 0.753 Hg
0.483 0.103 0.253 Hg
0.517 0.897 0.747 Hg
```

Properties
E_form (uncorrected)   1.4 eV/f.u.
Space group   P2_1/c (14)

(4)
First-principles (PBE) data for a relaxed AgHgS2 crystal, as listed in Alexandria.

Geometry as POSCAR:
```
AgHgS2
1.0
-5.871 -3.677 3.088
-2.573 -5.393 4.672
-3.961 -1.910 6.179
Hg Ag S
1 1 2
direct
0.000 0.000 0.000 Hg
0.500 0.500 0.500 Ag
0.109 0.109 0.109 S
0.891 0.891 0.891 S
```

Properties
E_form (uncorrected)   0.3 eV/f.u.
Space group   R-3m (166)